1.
Material: BeCrOs
Method: DFT, PBE
State: relaxed

Unit cell a=8.7018 b=2.8821 c=5.8073 alpha=90.00 beta=109.14 gamma=90.00
Closest atoms and distances in Å follow each position.
Space group C2/m (No. 12)
Unique sites:
Be (0.0000, 0.0000, 0.0000)  4 Os 2.41, 4 Cr 2.55
Be (0.0000, 0.0000, 0.5000)  4 Os 2.41, 6 Cr 2.46-2.67
Cr (0.1753, 0.5000, 0.3499)  2 Cr 2.31, 4 Be 2.46-2.55, 2 Os 2.51
Os (0.1546, 0.5000, 0.8254)  4 Be 2.41, 2 Cr 2.51, 2 Os 2.60

Formation energy from the elements, eV/atom: -0.12
V, Å³/atom: 11.47
Crystal system: monoclinic

---

2.
Material: Be2CrOs2
Method: DFT, PBE
State: relaxed

Unit cell a=6.1392 b=6.1392 c=2.9457 alpha=90.00 beta=90.00 gamma=90.00
Closest atoms and distances in Å follow each position.
Space group P4/mbm (No. 127)
Unique sites:
Be (0.1225, 0.3775, 0.0000)  1 Be 2.13, 6 Os 2.31-2.35
Cr (0.0000, 0.0000, 0.0000)  4 Be 2.44, 8 Os 2.71
Os (0.1723, 0.6723, 0.5000)  6 Be 2.31-2.35

Formation energy from the elements, eV/atom: -0.14
V, Å³/atom: 11.10
Crystal system: tetragonal

---

3.
Material: BeCrOs2
Method: DFT, PBE
State: relaxed

Unit cell a=5.8851 b=5.8851 c=5.8851 alpha=90.00 beta=90.00 gamma=90.00
Closest atoms and distances in Å follow each position.
Space group F-43m (No. 216)
Unique sites:
Be (0.0000, 0.0000, 0.0000)  4 Cr 2.55, 4 Os 2.55
Cr (0.2500, 0.2500, 0.7500)  4 Os 2.55, 4 Be 2.55
Os (0.0000, 0.0000, 0.5000)  4 Cr 2.55, 4 Os 2.55
Os (0.2500, 0.2500, 0.2500)  4 Os 2.55, 4 Be 2.55

Formation energy from the elements, eV/atom: 0.25
V, Å³/atom: 12.74
Crystal system: cubic

---

4.
Material: Be2CrOs
Method: DFT, PBE
State: relaxed

Unit cell a=2.9452 b=3.7361 c=3.9759 alpha=90.00 beta=90.00 gamma=90.00
Closest atoms and distances in Å follow each position.
Space group Pmmm (No. 47)
Unique sites:
Be (0.0000, 0.0000, 0.0000)  4 Os 2.38, 4 Be 2.47
Be (0.5000, 0.0000, 0.5000)  4 Cr 2.38, 4 Be 2.47
Cr (0.0000, 0.5000, 0.5000)  4 Be 2.38, 4 Os 2.47
Os (0.5000, 0.5000, 0.0000)  4 Be 2.38, 4 Cr 2.47

Formation energy from the elements, eV/atom: 0.02
V, Å³/atom: 10.94
Crystal system: orthorhombic

---

5.
Material: Be2CrOs
Method: DFT, PBE
State: relaxed

Unit cell a=3.8362 b=3.8362 c=2.9206 alpha=90.00 beta=90.00 gamma=90.00
Closest atoms and distances in Å follow each position.
Space group P4/mmm (No. 123)
Unique sites:
Be (0.0000, 0.5000, 0.0000)  4 Cr 2.41, 4 Os 2.41
Cr (0.0000, 0.0000, 0.5000)  8 Be 2.41
Os (0.5000, 0.5000, 0.5000)  8 Be 2.41

Formation energy from the elements, eV/atom: 0.03
V, Å³/atom: 10.75
Crystal system: tetragonal

---

6.
Material: BeCrOs2
Method: DFT, PBE
State: relaxed

Unit cell a=2.6873 b=2.6873 c=24.1565 alpha=90.00 beta=90.00 gamma=120.00
Closest atoms and distances in Å follow each position.
Space group R-3m (No. 166, hexagonal axes)
Unique sites:
Be (0.0000, 0.0000, 0.0000)  6 Os 2.49, 6 Be 2.69
Cr (0.0000, 0.0000, 0.5000)  6 Os 2.59, 6 Cr 2.69
Os (0.0000, 0.0000, 0.2527)  3 Be 2.49, 3 Cr 2.59, 6 Os 2.69

Formation energy from the elements, eV/atom: 0.07
V, Å³/atom: 12.59
Crystal system: trigonal

---

7.
Material: BeCr4Os
Method: DFT, PBE
State: relaxed

Unit cell a=6.5990 b=6.5990 c=6.5990 alpha=90.00 beta=90.00 gamma=90.00
Closest atoms and distances in Å follow each position.
Space group F-43m (No. 216)
Unique sites:
Be (0.0000, 0.0000, 0.0000)  12 Cr 2.73, 4 Os 2.86
Cr (0.1267, 0.1267, 0.3733)  6 Cr 2.30-2.36
Os (0.2500, 0.2500, 0.7500)  12 Cr 2.74, 4 Be 2.86

Formation energy from the elements, eV/atom: 0.18
V, Å³/atom: 11.97
Crystal system: cubic

---

8.
Material: BeCrOs2
Method: DFT, PBE
State: relaxed

Unit cell a=6.8791 b=6.8791 c=4.4822 alpha=90.00 beta=90.00 gamma=90.00
Closest atoms and distances in Å follow each position.
Space group I-42d (No. 122)
Unique sites:
Be (0.0000, 0.0000, 0.0000)  4 Os 2.14, 2 Cr 2.24
Cr (0.0000, 0.0000, 0.5000)  2 Be 2.24
Os (0.1654, 0.2500, 0.1250)  2 Be 2.14

Formation energy from the elements, eV/atom: 0.68
V, Å³/atom: 13.26
Crystal system: tetragonal

---

9.
Material: BeCrOs2
Method: DFT, PBE
State: relaxed

Unit cell a=8.1562 b=2.6884 c=4.7134 alpha=90.00 beta=99.23 gamma=90.00
Closest atoms and distances in Å follow each position.
Space group C2/m (No. 12)
Unique sites:
Be (0.0000, 0.0000, 0.0000)  6 Os 2.48-2.55, 2 Be 2.69, 4 Cr 2.71
Cr (0.0000, 0.5000, 0.5000)  6 Os 2.55-2.58, 2 Cr 2.69, 4 Be 2.71
Os (0.2494, 0.0000, 0.7613)  3 Be 2.48-2.55, 3 Cr 2.55-2.58, 4 Os 2.62-2.69

Formation energy from the elements, eV/atom: 0.12
V, Å³/atom: 12.75
Crystal system: monoclinic

---

10.
Material: BeCrOs2
Method: DFT, PBE
State: relaxed

Unit cell a=2.8894 b=2.8894 c=5.8193 alpha=90.00 beta=90.00 gamma=90.00
Closest atoms and distances in Å follow each position.
Space group P4mm (No. 99)
Unique sites:
Be (0.0000, 0.0000, 0.0000)  5 Os 2.39-2.66, 4 Cr 2.39
Cr (0.5000, 0.5000, 0.2135)  4 Be 2.39, 5 Os 2.48-2.49
Os (0.0000, 0.0000, 0.4569)  4 Cr 2.49, 1 Be 2.66
Os (0.5000, 0.5000, 0.7868)  4 Be 2.39, 1 Cr 2.48

Formation energy from the elements, eV/atom: 0.05
V, Å³/atom: 12.15
Crystal system: tetragonal

---

11.
Material: Be2CrOs
Method: DFT, PBE
State: relaxed

Unit cell a=2.8477 b=2.8477 c=5.3869 alpha=90.00 beta=90.00 gamma=90.00
Closest atoms and distances in Å follow each position.
Space group P4mm (No. 99)
Unique sites:
Be (0.0000, 0.0000, 0.0000)  4 Be 2.29, 4 Os 2.49, 1 Cr 2.55
Be (0.5000, 0.5000, 0.2021)  4 Be 2.29, 4 Cr 2.49, 1 Os 2.55
Cr (0.0000, 0.0000, 0.4729)  4 Os 2.44, 5 Be 2.49-2.55
Os (0.5000, 0.5000, 0.7281)  4 Cr 2.44, 5 Be 2.49-2.55

Formation energy from the elements, eV/atom: -0.05
V, Å³/atom: 10.92
Crystal system: tetragonal

---

12.
Material: BeCrOs
Method: DFT, PBE
State: relaxed

Unit cell a=5.4739 b=5.4739 c=5.4739 alpha=90.00 beta=90.00 gamma=90.00
Closest atoms and distances in Å follow each position.
Space group F-43m (No. 216)
Unique sites:
Be (0.0000, 0.0000, 0.0000)  4 Cr 2.37
Cr (0.2500, 0.2500, 0.7500)  4 Os 2.37, 4 Be 2.37
Os (0.0000, 0.0000, 0.5000)  4 Cr 2.37

Formation energy from the elements, eV/atom: 0.49
V, Å³/atom: 13.67
Crystal system: cubic